1.
Entry from Alexandria: a relaxed Tb14Pb3Se24 crystal (PBE-GGA).

Cell: 7.6286 7.6286 19.7971 Å, 75.10 75.10 70.30°
Fractional positions:
Se 0.5788 0.7035 0.4662
Se 0.4829 0.8341 0.0811
Tb 0.9616 0.4587 0.4627
Se 0.6289 0.5031 0.7556
Tb 0.8277 0.8172 0.9617
Tb 0.2080 0.7089 0.1964
Tb 0.5043 0.5077 0.3696
Pb 0.0430 0.2865 0.6689
Se 0.4969 0.3711 0.2444
Se 0.9025 0.0405 0.8035
Se 0.2474 0.8750 0.6353
Se 0.9093 0.5406 0.2913
Se 0.6187 0.7663 0.8676
Se 0.9595 0.0975 0.1965
Se 0.9627 0.8391 0.0835
Tb 0.4556 0.2067 0.8381
Se 0.8000 0.4163 0.0361
Tb 0.5413 0.0384 0.5373
Pb 0.1223 0.8777 0.5000
Se 0.8153 0.6932 0.5889
Se 0.8157 0.1940 0.5836
Pb 0.7135 0.9570 0.3311
Se 0.4594 0.0907 0.7087
Se 0.8060 0.1843 0.4164
Se 0.1250 0.7526 0.3647
Tb 0.4923 0.4957 0.6304
Se 0.1609 0.0373 0.9165
Tb 0.1689 0.1660 0.2863
Tb 0.1828 0.1723 0.0383
Tb 0.2911 0.7920 0.8036
Se 0.2965 0.4212 0.5338
Se 0.2337 0.3813 0.1324
Tb 0.6183 0.1287 0.1216
Se 0.5837 0.2000 0.9639
Se 0.3068 0.1847 0.4111
Tb 0.7933 0.5444 0.1619
Tb 0.8713 0.3817 0.8784
Se 0.1659 0.5171 0.9189
Se 0.4951 0.8560 0.2449
Tb 0.8340 0.8311 0.7137
Se 0.1440 0.5049 0.7551

Output
Crystal system ... monoclinic
ρ ... 7.6 g cm⁻³
Density of states at the Fermi level ... 0.00 states/eV/cell
E_tot ... -5.537 eV per atom

2.
Entry from Alexandria: a relaxed Tb6TePb2Se3 crystal (PBE-GGA).

Cell: 4.2744 8.5636 9.5432 Å, 102.63 102.94 90.00°
Fractional positions:
Pb 0.8334 0.6677 0.6668
Se 0.5000 0.5000 0.0000
Se 0.8352 0.1656 0.6704
Tb 0.6712 0.0794 0.3424
Tb 0.6636 0.5900 0.3271
Se 0.1648 0.8344 0.3296
Tb 0.3364 0.4100 0.6729
Te 0.5000 0.0000 0.0000
Tb 0.0012 0.7332 0.0024
Tb 0.3288 0.9206 0.6576
Tb 0.9988 0.2668 0.9976
Pb 0.1666 0.3323 0.3332

Output
Crystal system ... monoclinic
ρ ... 8.7 g cm⁻³
Density of states at the Fermi level ... 4.78 states/eV/cell
E_tot ... -5.344 eV per atom

3.
Entry from Alexandria: a relaxed Tb4TePbSe2 crystal (PBE-GGA).

Cell: 4.2562 7.3933 7.3865 Å, 70.64 90.00 90.00°
Fractional positions:
Tb 0.0000 0.2285 0.2634
Tb 0.0000 0.7715 0.7366
Tb 0.5000 0.7665 0.2480
Pb 0.0000 0.5000 0.5000
Se 0.0000 0.0000 0.0000
Te 0.5000 0.5000 0.0000
Se 0.5000 0.0000 0.5000
Tb 0.5000 0.2335 0.7520

Output
Crystal system ... monoclinic
ρ ... 8.5 g cm⁻³
Density of states at the Fermi level ... 3.03 states/eV/cell
E_tot ... -5.398 eV per atom